Record 1
This record from Alexandria describes a relaxed PmTh2 crystal. The functional is PBE.

Computed properties:
Size of the total moment (μB/f.u.): 0.0
E above lowest polymorph (eV/f.u.): 0.05

Cell lengths 3.605, 3.605, 8.017 Å; angles 102.99, 102.99, 90.00 degrees
Sites, in units of the cell vectors:
Th: 0.670 0.670 0.341
Th: 0.330 0.330 0.659
Pm: 0.000 0.000 0.000


Record 2
This record from Alexandria describes a relaxed PmTh11 crystal. The functional is PBE.

Computed properties:
Size of the total moment (μB/f.u.): 0.0

Cell lengths 3.493, 11.414, 11.414 Å; angles 120.00, 90.00, 90.00 degrees
Sites, in units of the cell vectors:
Th: 0.000 0.667 0.333
Th: 0.000 0.500 0.500
Th: 0.500 0.827 0.173
Th: 0.500 0.827 0.655
Th: 0.000 0.333 0.667
Th: 0.500 0.173 0.345
Th: 0.500 0.173 0.827
Th: 0.500 0.655 0.827
Th: 0.500 0.345 0.173
Th: 0.000 0.500 0.000
Th: 0.000 0.000 0.500
Pm: 0.000 0.000 0.000


no.,formation enthalpy at 0 K (eV per formula unit),theoretical density (Mg/m³)
1,0.15,10.2
2,1.29,11.4